The following is a DFT calculation (PBE) of MnNbSi2 after structural relaxation.

Results
raw total energy: -7.818 eV per atom
crystal system: trigonal
V: 55.5 Å³/cell
total magnetization: 0.001 μB per cell

Structure (extended XYZ):
```
4
Lattice="3.855 0.000 0.000 1.927 3.338 0.000 1.927 1.113 4.314" Properties=species:S:1:pos:R:3 pbc="T T T"
Nb 3.855 2.226 2.157
Si 5.782 3.338 3.646
Si 1.927 1.113 0.667
Mn 0.000 0.000 0.000
```